## CaAlCuAu6 (PBE)

Data for an optimized crystal structure of CaAlCuAu6.

a = 6.386 Å, b = 8.898 Å, c = 14.316 Å
α = 90.00°, β = 90.00°, γ = 90.00°
Space group Imma (No. 74)
Asymmetric unit:
Ca  0.000  0.250  0.091 (multiplicity 4)
Al  0.000  0.000  0.500 (multiplicity 4)
Cu  0.250  0.250  0.750 (multiplicity 4)
Au  0.000  0.250  0.398 (multiplicity 4)
Au  0.000  0.250  0.888 (multiplicity 4)
Au  0.229  0.012  0.647 (multiplicity 16)

***

## CaAlCuAu (PBE)

Data for an optimized crystal structure of CaAlCuAu.

a = 6.696 Å, b = 6.696 Å, c = 6.696 Å
α = 90.00°, β = 90.00°, γ = 90.00°
Space group F-43m (No. 216)
Asymmetric unit:
Ca  0.000  0.000  0.000 (multiplicity 4)
Al  0.000  0.000  0.500 (multiplicity 4)
Cu  0.250  0.250  0.750 (multiplicity 4)
Au  0.250  0.250  0.250 (multiplicity 4)

***

## CaDyAl2Au5 (PBE)

Data for an optimized crystal structure of CaDyAl2Au5.

a = 4.580 Å, b = 4.580 Å, c = 8.733 Å
α = 90.00°, β = 90.00°, γ = 90.00°
Space group P4/mmm (No. 123)
Asymmetric unit:
Ca  0.000  0.000  0.000 (multiplicity 1)
Dy  0.000  0.000  0.500 (multiplicity 1)
Al  0.500  0.500  0.354 (multiplicity 2)
Au  0.000  0.500  0.232 (multiplicity 4)
Au  0.500  0.500  0.000 (multiplicity 1)

***

## Ca2DyAl3Au12 (PBE)

Data for an optimized crystal structure of Ca2DyAl3Au12.

a = 8.8381 Å, b = 8.8381 Å, c = 18.9225 Å
α = 90.00°, β = 90.00°, γ = 120.00°
Space group R-3m (No. 166, hexagonal axes)
Asymmetric unit:
Ca  0.0000  0.0000  0.0961 (multiplicity 6)
Dy  0.0000  0.0000  0.5000 (multiplicity 3)
Al  0.0000  0.5000  0.0000 (multiplicity 9)
Au  0.0204  0.5102  0.3555 (multiplicity 18)
Au  0.0320  0.5160  0.8670 (multiplicity 18)

***

## CaErAl2Au5 (PBE)

Data for an optimized crystal structure of CaErAl2Au5.

a = 4.585 Å, b = 4.585 Å, c = 8.686 Å
α = 90.00°, β = 90.00°, γ = 90.00°
Space group P4/mmm (No. 123)
Asymmetric unit:
Ca  0.000  0.000  0.000 (multiplicity 1)
Er  0.000  0.000  0.500 (multiplicity 1)
Al  0.500  0.500  0.354 (multiplicity 2)
Au  0.000  0.500  0.234 (multiplicity 4)
Au  0.500  0.500  0.000 (multiplicity 1)

***

## Ca2ErAl3Au12 (PBE)

Data for an optimized crystal structure of Ca2ErAl3Au12.

a = 8.8080 Å, b = 8.8080 Å, c = 18.9811 Å
α = 90.00°, β = 90.00°, γ = 120.00°
Space group R-3m (No. 166, hexagonal axes)
Asymmetric unit:
Ca  0.0000  0.0000  0.0970 (multiplicity 6)
Er  0.0000  0.0000  0.5000 (multiplicity 3)
Al  0.0000  0.5000  0.0000 (multiplicity 9)
Au  0.0200  0.5100  0.3576 (multiplicity 18)
Au  0.0297  0.5148  0.8673 (multiplicity 18)

***

## CaEr2AlAu4 (PBE)

Data for an optimized crystal structure of CaEr2AlAu4.

a = 4.9210 Å, b = 4.9210 Å, c = 24.4659 Å
α = 90.00°, β = 90.00°, γ = 120.00°
Space group R-3m (No. 166, hexagonal axes)
Asymmetric unit:
Ca  0.0000  0.0000  0.0000 (multiplicity 3)
Er  0.0000  0.0000  0.2453 (multiplicity 6)
Al  0.0000  0.0000  0.5000 (multiplicity 3)
Au  0.0000  0.0000  0.1253 (multiplicity 6)
Au  0.0000  0.0000  0.3854 (multiplicity 6)

***

## Ca2AlGa4Au3 (PBE)

Data for an optimized crystal structure of Ca2AlGa4Au3.

a = 4.228 Å, b = 4.228 Å, c = 11.473 Å
α = 90.00°, β = 90.00°, γ = 90.00°
Space group P-4m2 (No. 115)
Asymmetric unit:
Ca  0.000  0.500  0.248 (multiplicity 2)
Al  0.500  0.500  0.000 (multiplicity 1)
Ga  0.000  0.000  0.500 (multiplicity 1)
Ga  0.000  0.500  0.861 (multiplicity 2)
Ga  0.500  0.500  0.500 (multiplicity 1)
Au  0.000  0.000  0.000 (multiplicity 1)
Au  0.000  0.500  0.639 (multiplicity 2)

***

## CaAlGaAu3 (PBE)

Data for an optimized crystal structure of CaAlGaAu3.

a = 6.845 Å, b = 14.386 Å, c = 5.952 Å
α = 90.00°, β = 90.00°, γ = 90.00°
Space group Cmcm (No. 63)
Asymmetric unit:
Ca  0.000  0.204  0.250 (multiplicity 4)
Al  0.000  0.458  0.750 (multiplicity 4)
Ga  0.000  0.112  0.750 (multiplicity 4)
Au  0.000  0.285  0.750 (multiplicity 4)
Au  0.212  0.000  0.000 (multiplicity 8)

***

## CaAl2GaAu5 (PBE)

Data for an optimized crystal structure of CaAl2GaAu5.

a = 4.800 Å, b = 5.829 Å, c = 13.826 Å
α = 90.00°, β = 90.00°, γ = 90.00°
Space group Immm (No. 71)
Asymmetric unit:
Ca  0.000  0.000  0.000 (multiplicity 2)
Al  0.000  0.500  0.185 (multiplicity 4)
Ga  0.000  0.000  0.500 (multiplicity 2)
Au  0.000  0.252  0.336 (multiplicity 8)
Au  0.000  0.500  0.000 (multiplicity 2)

***

## Ca3AlGa2Au9 (PBE)

Data for an optimized crystal structure of Ca3AlGa2Au9.

a = 6.8169 Å, b = 6.8169 Å, c = 9.0035 Å
α = 90.00°, β = 90.00°, γ = 120.00°
Space group P-3m1 (No. 164)
Asymmetric unit:
Ca  0.0000  0.0000  0.0000 (multiplicity 1)
Ca  0.3333  0.6667  0.7098 (multiplicity 2)
Al  0.0000  0.0000  0.5000 (multiplicity 1)
Ga  0.3333  0.6667  0.1849 (multiplicity 2)
Au  0.0000  0.5000  0.0000 (multiplicity 3)
Au  0.1406  0.2812  0.2888 (multiplicity 6)

***

## Ca3AlGa2Au6 (PBE)

Data for an optimized crystal structure of Ca3AlGa2Au6.

a = 6.1016 Å, b = 6.1016 Å, c = 8.3662 Å
α = 90.00°, β = 90.00°, γ = 120.00°
Space group P-3m1 (No. 164)
Asymmetric unit:
Ca  0.0000  0.0000  0.0000 (multiplicity 1)
Ca  0.3333  0.6667  0.6233 (multiplicity 2)
Al  0.0000  0.0000  0.5000 (multiplicity 1)
Ga  0.3333  0.6667  0.0179 (multiplicity 2)
Au  0.1753  0.3505  0.2855 (multiplicity 6)

***

no.,density of states at the Fermi level (states/eV/f.u.),VASP energy (eV per cell)
1,2.8,-123.10
2,2.1,-57.77
3,3.7,-35.83
4,6.8,-190.54
5,3.7,-35.66
6,7.2,-190.44
7,4.3,-102.09
8,4.6,-35.06
9,2.9,-83.43
10,3.2,-63.50
11,6.6,-51.16
12,5.1,-41.73